1.
DFT (GGA-PBE) results for a relaxed structure of ZrGeIr.

Cell: 3.0609 3.0609 10.8422 Å, 90.00 90.00 90.00°
Space group I4mm (No. 107)
Symmetry-distinct sites (fractional):
Zr 0.0000 0.0000 0.0000 (multiplicity 2)
Ge 0.0000 0.0000 0.6813 (multiplicity 2)
Ir 0.0000 0.0000 0.3153 (multiplicity 2)

Summary:
Formation enthalpy at 0 K (eV per atom): -0.53
N(E_F) (states/eV/f.u.): 2.40
Electronic total energy (eV per cell): -47.2

2.
DFT (GGA-PBE) results for a relaxed structure of ZrGeIr.

Cell: 3.9869 3.9869 6.6580 Å, 90.00 90.00 90.00°
Space group P4/nmm (No. 129, origin choice 2)
Symmetry-distinct sites (fractional):
Zr 0.2500 0.2500 0.1798 (multiplicity 2)
Ge 0.2500 0.2500 0.7528 (multiplicity 2)
Ir 0.2500 0.7500 0.5000 (multiplicity 2)

Summary:
Formation enthalpy at 0 K (eV per atom): -0.79
N(E_F) (states/eV/f.u.): 2.16
Electronic total energy (eV per cell): -48.8

3.
DFT (GGA-PBE) results for a relaxed structure of ZrGeIr.

Cell: 7.7332 4.5645 7.4762 Å, 90.00 120.31 90.00°
Space group Cm (No. 8)
Symmetry-distinct sites (fractional):
Zr 0.0000 0.0000 0.0000 (multiplicity 2)
Zr 0.0931 0.0000 0.5123 (multiplicity 2)
Ge 0.0526 0.5000 0.7690 (multiplicity 2)
Ge 0.1470 0.5000 0.2848 (multiplicity 2)
Ir 0.3032 0.0000 0.9274 (multiplicity 2)
Ir 0.3548 0.0000 0.3603 (multiplicity 2)

Summary:
Formation enthalpy at 0 K (eV per atom): -0.78
Electronic total energy (eV per cell): -97.5

4.
DFT (GGA-PBE) results for a relaxed structure of ZrGeIr.

Cell: 6.7017 3.9725 11.5633 Å, 90.00 90.52 90.00°
Space group P2_1/m (No. 11)
Symmetry-distinct sites (fractional):
Zr 0.0162 0.2500 0.2060 (multiplicity 2)
Zr 0.3343 0.7500 0.5776 (multiplicity 2)
Zr 0.4741 0.7500 0.8800 (multiplicity 2)
Ge 0.2345 0.7500 0.0825 (multiplicity 2)
Ge 0.2406 0.2500 0.4145 (multiplicity 2)
Ge 0.2767 0.2500 0.7512 (multiplicity 2)
Ir 0.0162 0.2500 0.5928 (multiplicity 2)
Ir 0.1486 0.2500 0.9574 (multiplicity 2)
Ir 0.3535 0.7500 0.2956 (multiplicity 2)

Summary:
Formation enthalpy at 0 K (eV per atom): -0.86
N(E_F) (states/eV/f.u.): 1.91
Electronic total energy (eV per cell): -147.7

5.
DFT (GGA-PBE) results for a relaxed structure of Zr3Ge2Ir.

Cell: 10.9506 4.0508 10.7104 Å, 90.00 90.00 90.00°
Space group Pnma (No. 62)
Symmetry-distinct sites (fractional):
Zr 0.0488 0.2500 0.1228 (multiplicity 4)
Zr 0.1217 0.7500 0.5648 (multiplicity 4)
Zr 0.2112 0.2500 0.8159 (multiplicity 4)
Ge 0.0098 0.7500 0.3045 (multiplicity 4)
Ge 0.1842 0.7500 0.0123 (multiplicity 4)
Ir 0.1322 0.2500 0.3682 (multiplicity 4)

Summary:
Formation enthalpy at 0 K (eV per atom): -0.75
N(E_F) (states/eV/f.u.): 3.32
Electronic total energy (eV per cell): -192.9

6.
DFT (GGA-PBE) results for a relaxed structure of ZrGeIr3.

Cell: 4.5487 4.5487 4.5487 Å, 90.00 90.00 90.00°
Space group Pm-3m (No. 221)
Symmetry-distinct sites (fractional):
Zr 0.0000 0.0000 0.0000 (multiplicity 1)
Ge 0.5000 0.5000 0.5000 (multiplicity 1)
Ir 0.0000 0.5000 0.5000 (multiplicity 3)

Summary:
Formation enthalpy at 0 K (eV per atom): 0.46
N(E_F) (states/eV/f.u.): 11.20
Electronic total energy (eV per cell): -37.5
Energy above the lowest structure with this stoichiometry (meV/atom): 0

7.
DFT (GGA-PBE) results for a relaxed structure of ZrGeIr.

Cell: 6.6300 4.0709 7.6019 Å, 90.00 90.00 90.00°
Space group Pnma (No. 62)
Symmetry-distinct sites (fractional):
Zr 0.0210 0.2500 0.1863 (multiplicity 4)
Ge 0.2301 0.7500 0.3816 (multiplicity 4)
Ir 0.1516 0.2500 0.5639 (multiplicity 4)

Summary:
Formation enthalpy at 0 K (eV per atom): -0.89
N(E_F) (states/eV/f.u.): 1.87
Electronic total energy (eV per cell): -98.7

8.
DFT (GGA-PBE) results for a relaxed structure of ZrGeIr.

Cell: 4.3995 4.3995 3.0543 Å, 90.00 90.00 120.00°
Space group P-6m2 (No. 187)
Symmetry-distinct sites (fractional):
Zr 0.0000 0.0000 0.0000 (multiplicity 1)
Ge 0.6667 0.3333 0.5000 (multiplicity 1)
Ir 0.3333 0.6667 0.5000 (multiplicity 1)

Summary:
Formation enthalpy at 0 K (eV per atom): -0.80
N(E_F) (states/eV/f.u.): 2.51
Electronic total energy (eV per cell): -24.4

9.
DFT (GGA-PBE) results for a relaxed structure of Zr2Ge2Ir.

Cell: 6.4579 6.4579 4.2781 Å, 90.00 90.00 90.00°
Space group P4/mbm (No. 127)
Symmetry-distinct sites (fractional):
Zr 0.1684 0.3316 0.0000 (multiplicity 4)
Ge 0.1381 0.6381 0.5000 (multiplicity 4)
Ir 0.0000 0.0000 0.5000 (multiplicity 2)

Summary:
Formation enthalpy at 0 K (eV per atom): -0.81
N(E_F) (states/eV/f.u.): 3.01
Electronic total energy (eV per cell): -78.5

10.
DFT (GGA-PBE) results for a relaxed structure of Zr2Ge2Ir.

Cell: 3.8847 5.5766 8.3020 Å, 90.00 90.00 90.00°
Space group Immm (No. 71)
Symmetry-distinct sites (fractional):
Zr 0.0000 0.0000 0.2086 (multiplicity 4)
Ge 0.0000 0.2747 0.5000 (multiplicity 4)
Ir 0.0000 0.5000 0.0000 (multiplicity 2)

Summary:
Formation enthalpy at 0 K (eV per atom): -0.77
N(E_F) (states/eV/f.u.): 2.57
Electronic total energy (eV per cell): -78.1

11.
DFT (GGA-PBE) results for a relaxed structure of ZrGeIr.

Cell: 4.0020 4.0020 13.2632 Å, 90.00 90.00 90.00°
Space group I4/mmm (No. 139)
Symmetry-distinct sites (fractional):
Zr 0.0000 0.0000 0.1609 (multiplicity 4)
Ge 0.0000 0.0000 0.3749 (multiplicity 4)
Ir 0.0000 0.5000 0.0000 (multiplicity 4)

Summary:
Formation enthalpy at 0 K (eV per atom): -0.76
N(E_F) (states/eV/f.u.): 1.80
Electronic total energy (eV per cell): -97.3

12.
DFT (GGA-PBE) results for a relaxed structure of ZrGe2Ir2.

Cell: 7.4952 7.4952 2.8728 Å, 90.00 90.00 90.00°
Space group P4/mbm (No. 127)
Symmetry-distinct sites (fractional):
Zr 0.0000 0.0000 0.0000 (multiplicity 2)
Ge 0.1486 0.3514 0.0000 (multiplicity 4)
Ir 0.1479 0.6479 0.5000 (multiplicity 4)

Summary:
Formation enthalpy at 0 K (eV per atom): -0.35
N(E_F) (states/eV/f.u.): 2.80
Electronic total energy (eV per cell): -74.5

13.
DFT (GGA-PBE) results for a relaxed structure of Zr4Ge6Ir7.

Cell: 8.2481 8.2481 8.2481 Å, 90.00 90.00 90.00°
Space group Im-3m (No. 229)
Symmetry-distinct sites (fractional):
Zr 0.2500 0.2500 0.2500 (multiplicity 8)
Ge 0.0000 0.0000 0.3138 (multiplicity 12)
Ir 0.0000 0.0000 0.0000 (multiplicity 2)
Ir 0.0000 0.2500 0.5000 (multiplicity 12)

Summary:
Formation enthalpy at 0 K (eV per atom): -0.76
N(E_F) (states/eV/f.u.): 3.27
Electronic total energy (eV per cell): -273.8

14.
DFT (GGA-PBE) results for a relaxed structure of ZrGeIr3.

Cell: 4.8928 4.8928 4.8928 Å, 90.00 90.00 90.00°
Space group Pm-3m (No. 221)
Symmetry-distinct sites (fractional):
Zr 0.0000 0.0000 0.0000 (multiplicity 1)
Ge 0.5000 0.5000 0.5000 (multiplicity 1)
Ir 0.0000 0.0000 0.5000 (multiplicity 3)

Summary:
Formation enthalpy at 0 K (eV per atom): 1.56
N(E_F) (states/eV/f.u.): 5.92
Electronic total energy (eV per cell): -32.0
Energy above the lowest structure with this stoichiometry (meV/atom): 1104

15.
DFT (GGA-PBE) results for a relaxed structure of Zr2GeIr2.

Cell: 7.6514 7.6514 3.1899 Å, 90.00 90.00 90.00°
Space group P4/mbm (No. 127)
Symmetry-distinct sites (fractional):
Zr 0.1665 0.3335 0.0000 (multiplicity 4)
Ge 0.0000 0.0000 0.5000 (multiplicity 2)
Ir 0.1312 0.6312 0.5000 (multiplicity 4)

Summary:
Formation enthalpy at 0 K (eV per atom): -0.63
N(E_F) (states/eV/f.u.): 2.23
Electronic total energy (eV per cell): -85.2

16.
DFT (GGA-PBE) results for a relaxed structure of ZrGe3Ir.

Cell: 4.7953 4.7953 4.7953 Å, 90.00 90.00 90.00°
Space group Pm-3m (No. 221)
Symmetry-distinct sites (fractional):
Zr 0.0000 0.0000 0.0000 (multiplicity 1)
Ge 0.0000 0.5000 0.5000 (multiplicity 3)
Ir 0.5000 0.5000 0.5000 (multiplicity 1)

Summary:
Formation enthalpy at 0 K (eV per atom): 0.50
N(E_F) (states/eV/f.u.): 4.67
Electronic total energy (eV per cell): -28.8

17.
DFT (GGA-PBE) results for a relaxed structure of ZrGeIr.

Cell: 10.0444 4.2095 6.6029 Å, 90.00 130.79 90.00°
Space group C2/m (No. 12)
Symmetry-distinct sites (fractional):
Zr 0.0588 0.0000 0.2970 (multiplicity 4)
Ge 0.1593 0.5000 0.7341 (multiplicity 4)
Ir 0.1742 0.5000 0.1415 (multiplicity 4)

Summary:
Formation enthalpy at 0 K (eV per atom): -0.80
N(E_F) (states/eV/f.u.): 1.41
Electronic total energy (eV per cell): -97.7

18.
DFT (GGA-PBE) results for a relaxed structure of K2Ge.

Cell: 10.3746 5.9667 8.5294 Å, 90.00 114.04 90.00°
Space group C2/m (No. 12)
Symmetry-distinct sites (fractional):
K 0.1249 0.0000 0.3760 (multiplicity 4)
K 0.2024 0.5000 0.1074 (multiplicity 4)
Ge 0.0529 0.5000 0.6551 (multiplicity 4)

Summary:
Formation enthalpy at 0 K (eV per atom): -0.06
N(E_F) (states/eV/f.u.): 0.85
Electronic total energy (eV per cell): -28.0
Energy above the lowest structure with this stoichiometry (meV/atom): 21

19.
DFT (GGA-PBE) results for a relaxed structure of K2Ge.

Cell: 22.8440 5.6257 4.1401 Å, 90.00 100.36 90.00°
Space group Cm (No. 8)
Symmetry-distinct sites (fractional):
K 0.0000 0.0000 0.0000 (multiplicity 2)
K 0.1045 0.5000 0.1133 (multiplicity 2)
K 0.2435 0.0000 0.7493 (multiplicity 2)
K 0.3580 0.5000 0.3610 (multiplicity 2)
Ge 0.4042 0.0000 0.9084 (multiplicity 2)
Ge 0.4698 0.0000 0.4739 (multiplicity 2)

Summary:
Formation enthalpy at 0 K (eV per atom): -0.07
N(E_F) (states/eV/f.u.): 1.55
Electronic total energy (eV per cell): -28.1
Energy above the lowest structure with this stoichiometry (meV/atom): 16

20.
DFT (GGA-PBE) results for a relaxed structure of K3Ge.

Cell: 8.6190 8.6190 8.6190 Å, 90.00 90.00 90.00°
Space group Fm-3m (No. 225)
Symmetry-distinct sites (fractional):
K 0.0000 0.0000 0.0000 (multiplicity 4)
K 0.2500 0.2500 0.2500 (multiplicity 8)
Ge 0.0000 0.0000 0.5000 (multiplicity 4)

Summary:
Formation enthalpy at 0 K (eV per atom): 0.12
N(E_F) (states/eV/f.u.): 3.01
Electronic total energy (eV per cell): -29.7

21.
DFT (GGA-PBE) results for a relaxed structure of KGe6.

Cell: 7.1661 7.1661 7.1661 Å, 90.00 90.00 90.00°
Space group Im-3m (No. 229)
Symmetry-distinct sites (fractional):
K 0.0000 0.0000 0.0000 (multiplicity 2)
Ge 0.0000 0.2500 0.5000 (multiplicity 12)

Summary:
Formation enthalpy at 0 K (eV per atom): -0.01
N(E_F) (states/eV/f.u.): 3.08
Electronic total energy (eV per cell): -57.7

22.
DFT (GGA-PBE) results for a relaxed structure of K2Ge.

Cell: 4.1447 6.8159 10.0489 Å, 76.89 89.70 72.31°
Space group P1 (No. 1)
Symmetry-distinct sites (fractional):
K 0.0000 0.0000 0.0000 (multiplicity 1)
K 0.1078 0.7986 0.5309 (multiplicity 1)
K 0.3818 0.2366 0.6676 (multiplicity 1)
K 0.7810 0.4355 0.2138 (multiplicity 1)
Ge 0.2664 0.4710 0.9326 (multiplicity 1)
Ge 0.6699 0.6668 0.8262 (multiplicity 1)

Summary:
Formation enthalpy at 0 K (eV per atom): -0.05
N(E_F) (states/eV/f.u.): 0.88
Electronic total energy (eV per cell): -13.9
Energy above the lowest structure with this stoichiometry (meV/atom): 33

23.
DFT (GGA-PBE) results for a relaxed structure of KGe8.

Cell: 6.0120 6.1913 6.2629 Å, 88.85 73.87 73.87°
Space group P-1 (No. 2)
Symmetry-distinct sites (fractional):
K 0.0000 0.0000 0.0000 (multiplicity 1)
Ge 0.0030 0.6465 0.3562 (multiplicity 2)
Ge 0.3070 0.6175 0.6215 (multiplicity 2)
Ge 0.3280 0.9917 0.4219 (multiplicity 2)
Ge 0.3298 0.4167 0.9942 (multiplicity 2)

Summary:
Formation enthalpy at 0 K (eV per atom): 0.19
N(E_F) (states/eV/f.u.): 3.00
Electronic total energy (eV per cell): -36.3